VASP calculation (PBE) on a relaxed structure of PmCd2Sn3.

Summary:
The total energy is -0.1241 hartree per atom.

```
data_PmCd2Sn3
_cell_length_a 4.502
_cell_length_b 4.668
_cell_length_c 7.747
_cell_angle_alpha 107.54
_cell_angle_beta 90.00
_cell_angle_gamma 90.00
_symmetry_space_group_name_H-M 'P 1'
_symmetry_Int_Tables_number 1
_symmetry_space_group_name_Hall 'P 1'
loop_
_atom_site_label
_atom_site_type_symbol
_atom_site_fract_x
_atom_site_fract_y
_atom_site_fract_z
Pm1 Pm 0.000 0.000 0.000
Cd1 Cd 0.000 0.666 0.332
Cd2 Cd 0.000 0.334 0.668
Sn1 Sn 0.500 0.171 0.342
Sn2 Sn 0.500 0.500 0.000
Sn3 Sn 0.500 0.829 0.658
```

VASP calculation (PBE) on a relaxed structure of Be3Au.

Summary:
The total energy is -0.1340 hartree per atom.

```
data_Be3Au
_cell_length_a 3.501
_cell_length_b 3.501
_cell_length_c 3.498
_cell_angle_alpha 90.00
_cell_angle_beta 90.00
_cell_angle_gamma 90.01
_symmetry_space_group_name_H-M 'P 1'
_symmetry_Int_Tables_number 1
_symmetry_space_group_name_Hall 'P 1'
loop_
_atom_site_label
_atom_site_type_symbol
_atom_site_fract_x
_atom_site_fract_y
_atom_site_fract_z
Be1 Be 0.000 0.500 0.500
Be2 Be 0.500 0.000 0.500
Be3 Be 0.500 0.500 0.000
Au1 Au 0.000 0.000 0.000
```

VASP calculation (PBE) on a relaxed structure of EuAl2Ir.

Summary:
The total energy is -0.2685 hartree per atom.

```
data_EuAl2Ir
_cell_length_a 4.264
_cell_length_b 4.264
_cell_length_c 5.985
_cell_angle_alpha 69.13
_cell_angle_beta 69.13
_cell_angle_gamma 60.00
_symmetry_space_group_name_H-M 'P 1'
_symmetry_Int_Tables_number 1
_symmetry_space_group_name_Hall 'P 1'
loop_
_atom_site_label
_atom_site_type_symbol
_atom_site_fract_x
_atom_site_fract_y
_atom_site_fract_z
Eu1 Eu 0.500 0.500 0.500
Ir1 Ir 0.000 0.000 0.000
Al1 Al 0.298 0.298 0.106
Al2 Al 0.702 0.702 0.894
```

VASP calculation (PBE) on a relaxed structure of Ce2PrGe.

Summary:
The calculation puts the distance to the lowest polymorph of the same formula at 0 meV/atom. The total energy is -0.2122 hartree per atom.

```
data_Ce2PrGe
_cell_length_a 4.337
_cell_length_b 4.404
_cell_length_c 11.342
_cell_angle_alpha 100.45
_cell_angle_beta 90.00
_cell_angle_gamma 90.00
_symmetry_space_group_name_H-M 'P 1'
_symmetry_Int_Tables_number 1
_symmetry_space_group_name_Hall 'P 1'
loop_
_atom_site_label
_atom_site_type_symbol
_atom_site_fract_x
_atom_site_fract_y
_atom_site_fract_z
Ce1 Ce 0.750 0.394 0.879
Ce2 Ce 0.250 0.606 0.121
Ce3 Ce 0.250 0.989 0.878
Ce4 Ce 0.750 0.011 0.122
Pr1 Pr 0.250 0.300 0.606
Pr2 Pr 0.750 0.700 0.394
Ge1 Ge 0.750 0.822 0.677
Ge2 Ge 0.250 0.178 0.323
```

Respective DOS at the Fermi energy values: 0.480; 0.364; 2.230; 1.748 states/eV per atom.